Entry 1:
# Hf2ZnPb2, optimized geometry, DFT PBE
data_Hf2ZnPb2
_chemical_formula_sum 'Hf4 Zn2 Pb4'
_cell_length_a 7.628
_cell_length_b 7.628
_cell_length_c 4.034
_cell_angle_alpha 90.00
_cell_angle_beta 90.00
_cell_angle_gamma 90.00
_space_group_name_H-M_alt 'P 4/m b m'
_space_group_IT_number 127
_space_group_name_Hall '-P 4 2ab'
loop_
_atom_site_label
_atom_site_type_symbol
_atom_site_fract_x
_atom_site_fract_y
_atom_site_fract_z
Hf1 Hf 0.147 0.353 0.000
Zn1 Zn 0.000 0.000 0.500
Pb1 Pb 0.155 0.655 0.500
# **Crystal system**: tetragonal
# **M_tot**: 0.0 μB/f.u.
# **Calculated volume**: 23.472 Å³/atom
# **DFT formation energy**: 0.30 eV per atom



Entry 2:
# PrCoCu, optimized geometry, DFT PBE
data_PrCoCu
_chemical_formula_sum 'Pr4 Co4 Cu4'
_cell_length_a 3.917
_cell_length_b 15.743
_cell_length_c 3.865
_cell_angle_alpha 90.00
_cell_angle_beta 90.00
_cell_angle_gamma 90.00
_space_group_name_H-M_alt 'C m c m'
_space_group_IT_number 63
_space_group_name_Hall '-C 2c 2'
loop_
_atom_site_label
_atom_site_type_symbol
_atom_site_fract_x
_atom_site_fract_y
_atom_site_fract_z
Pr1 Pr 0.000 0.110 0.250
Co1 Co 0.000 0.463 0.250
Cu1 Cu 0.000 0.299 0.250
# **Crystal system**: orthorhombic
# **M_tot**: 0.7 μB/f.u.
# **Calculated volume**: 19.865 Å³/atom
# **DFT formation energy**: 0.00 eV per atom



Entry 3:
# UGa2Si2Pt7, optimized geometry, DFT PBE
data_UGa2Si2Pt7
_chemical_formula_sum 'U2 Ga4 Si4 Pt14'
_cell_length_a 5.551
_cell_length_b 5.573
_cell_length_c 14.461
_cell_angle_alpha 90.00
_cell_angle_beta 97.54
_cell_angle_gamma 90.00
_space_group_name_H-M_alt 'C 1 2/m 1'
_space_group_IT_number 12
loop_
_space_group_symop_operation_xyz
'x,y,z'
'-x,-y,-z'
'-x,y,-z'
'x,-y,z'
'x+1/2,y+1/2,z'
'-x+1/2,-y+1/2,-z'
'-x+1/2,y+1/2,-z'
'x+1/2,-y+1/2,z'
loop_
_atom_site_label
_atom_site_type_symbol
_atom_site_fract_x
_atom_site_fract_y
_atom_site_fract_z
U1 U 0.000 0.000 0.000
Ga1 Ga 0.111 0.000 0.415
Si1 Si 0.093 0.500 0.258
Pt1 Pt 0.000 0.500 0.000
Pt2 Pt 0.128 0.500 0.419
Pt3 Pt 0.191 0.250 0.841
# **Crystal system**: monoclinic
# **M_tot**: 1.8 μB/f.u.
# **Calculated volume**: 18.480 Å³/atom
# **Raw total energy**: -6.4226 eV/atom



Entry 4:
# Sr2TePdN, optimized geometry, DFT PBE
data_Sr2TePdN
_chemical_formula_sum 'Sr2 Te1 Pd1 N1'
_cell_length_a 5.519
_cell_length_b 5.519
_cell_length_c 3.997
_cell_angle_alpha 90.00
_cell_angle_beta 90.00
_cell_angle_gamma 90.00
_space_group_name_H-M_alt 'P 4/m m m'
_space_group_IT_number 123
_space_group_name_Hall '-P 4 2'
loop_
_atom_site_label
_atom_site_type_symbol
_atom_site_fract_x
_atom_site_fract_y
_atom_site_fract_z
Sr1 Sr 0.000 0.500 0.000
Te1 Te 0.000 0.000 0.500
Pd1 Pd 0.500 0.500 0.500
N1 N 0.500 0.500 0.000
# **Crystal system**: tetragonal
# **M_tot**: 0.0 μB/f.u.
# **Calculated volume**: 24.349 Å³/atom
# **Raw total energy**: -4.9110 eV/atom



Entry 5:
# AcDyTcO6, optimized geometry, DFT PBE
data_AcDyTcO6
_chemical_formula_sum 'Ac1 Dy1 Tc1 O6'
_cell_length_a 5.5618
_cell_length_b 5.5618
_cell_length_c 5.2602
_cell_angle_alpha 90.00
_cell_angle_beta 90.00
_cell_angle_gamma 120.00
_space_group_name_H-M_alt 'P 3 1 2'
_space_group_IT_number 149
loop_
_space_group_symop_operation_xyz
'x,y,z'
'-y,x-y,z'
'-x+y,-x,z'
'-y,-x,-z'
'-x+y,y,-z'
'x,x-y,-z'
loop_
_atom_site_label
_atom_site_type_symbol
_atom_site_fract_x
_atom_site_fract_y
_atom_site_fract_z
Ac1 Ac 0.0000 0.0000 0.0000
Dy1 Dy 0.3333 0.6667 0.5000
Tc1 Tc 0.6667 0.3333 0.5000
O1 O 0.3836 0.0407 0.7108
# **Crystal system**: trigonal
# **M_tot**: 1.0 μB/f.u.
# **Calculated volume**: 15.658 Å³/atom
# **Raw total energy**: -7.9453 eV/atom



Entry 6:
# Sr2AlI, optimized geometry, DFT PBE
data_Sr2AlI
_chemical_formula_sum 'Sr6 Al3 I3'
_cell_length_a 4.4414
_cell_length_b 4.4414
_cell_length_c 27.0806
_cell_angle_alpha 90.00
_cell_angle_beta 90.00
_cell_angle_gamma 120.00
_space_group_name_H-M_alt 'R -3 m'
_space_group_IT_number 166
_space_group_name_Hall '-R 3 2"'
loop_
_atom_site_label
_atom_site_type_symbol
_atom_site_fract_x
_atom_site_fract_y
_atom_site_fract_z
Sr1 Sr 0.0000 0.0000 0.2431
Al1 Al 0.0000 0.0000 0.5000
I1 I 0.0000 0.0000 0.0000
# **Crystal system**: trigonal
# **M_tot**: 0.0 μB/f.u.
# **Calculated volume**: 38.552 Å³/atom
# **Raw total energy**: -2.7864 eV/atom



- Number 1 is which compound?
  Hf2ZnPb2



- Number 6 is which compound?
  Sr2AlI



- Which value of M_tot does entry 4 give?
  0.0 μB/f.u.



- What is the calculated volume in the sixth record?
  38.552 Å³/atom